# Y5Cr meta-GGA SCAN single point on PBEsol structure
data_Y5Cr
_cell_length_a 8.9388
_cell_length_b 8.9388
_cell_length_c 8.9388
_cell_angle_alpha 90.00
_cell_angle_beta 90.00
_cell_angle_gamma 90.00
_space_group_name_H-M_alt 'F -4 3 m'
_space_group_IT_number 216
_space_group_name_Hall 'F -4 2 3'
loop_
_atom_site_label
_atom_site_fract_x
_atom_site_fract_y
_atom_site_fract_z
Y1 0.0000 0.0000 0.0000
Y2 0.1251 0.1251 0.6251
Cr1 0.2500 0.2500 0.2500
# Electronic total energy = -619.4 eV/cell
# Energy of formation from the pure elements = 2.74 eV per formula unit
# Spin magnetization = 20.57 μB/cell
# Mass density = 4.62 g cm⁻³

***

# Sc2TcOs meta-GGA SCAN single point on PBEsol structure
data_Sc2TcOs
_cell_length_a 3.1525
_cell_length_b 4.2882
_cell_length_c 4.7711
_cell_angle_alpha 90.00
_cell_angle_beta 90.00
_cell_angle_gamma 90.00
_space_group_name_H-M_alt 'P m m m'
_space_group_IT_number 47
_space_group_name_Hall '-P 2 2'
loop_
_atom_site_label
_atom_site_fract_x
_atom_site_fract_y
_atom_site_fract_z
Sc1 0.0000 0.0000 0.0000
Sc2 0.5000 0.0000 0.5000
Tc1 0.0000 0.5000 0.5000
Os1 0.5000 0.5000 0.0000
# Electronic total energy = -136.1 eV/cell
# Energy of formation from the pure elements = -0.67 eV per formula unit
# Spin magnetization = 0.00 μB/cell
# Mass density = 9.74 g cm⁻³

***

# Na3YIn meta-GGA SCAN single point on PBEsol structure
data_Na3YIn
_cell_length_a 5.6138
_cell_length_b 5.6138
_cell_length_c 5.6138
_cell_angle_alpha 90.00
_cell_angle_beta 90.00
_cell_angle_gamma 90.00
_space_group_name_H-M_alt 'P m -3 m'
_space_group_IT_number 221
_space_group_name_Hall '-P 4 2 3'
loop_
_atom_site_label
_atom_site_fract_x
_atom_site_fract_y
_atom_site_fract_z
Na1 0.0000 0.0000 0.5000
Y1 0.5000 0.5000 0.5000
In1 0.0000 0.0000 0.0000
# Electronic total energy = -71.6 eV/cell
# Energy of formation from the pure elements = 2.28 eV per formula unit
# Spin magnetization = 0.17 μB/cell
# Mass density = 2.56 g cm⁻³

***

# SrMo2Pb meta-GGA SCAN single point on PBEsol structure
data_SrMo2Pb
_cell_length_a 3.6954
_cell_length_b 3.6954
_cell_length_c 6.9012
_cell_angle_alpha 90.00
_cell_angle_beta 90.00
_cell_angle_gamma 90.00
_space_group_name_H-M_alt 'P 4/m m m'
_space_group_IT_number 123
_space_group_name_Hall '-P 4 2'
loop_
_atom_site_label
_atom_site_fract_x
_atom_site_fract_y
_atom_site_fract_z
Sr1 0.0000 0.0000 0.0000
Mo1 0.5000 0.5000 0.3329
Pb1 0.0000 0.0000 0.5000
# Electronic total energy = -164.8 eV/cell
# Energy of formation from the pure elements = 3.02 eV per formula unit
# Spin magnetization = 0.74 μB/cell
# Mass density = 8.58 g cm⁻³